(1)
# PBE-GGA La8Ir2OsPt, optimized geometry
data_La8Ir2OsPt
_cell_length_a 6.7743
_cell_length_b 8.6735
_cell_length_c 6.8893
_cell_angle_alpha 90.00
_cell_angle_beta 90.02
_cell_angle_gamma 90.00
_space_group_name_H-M_alt 'P 1 2/m 1'
_space_group_IT_number 10
_space_group_name_Hall '-P 2y'
loop_
_atom_site_label
_atom_site_type_symbol
_atom_site_fract_x
_atom_site_fract_y
_atom_site_fract_z
_atom_site_occupancy
La1 La 0.2190 0.0000 0.3358 1
La2 La 0.2260 0.5000 0.3296 1
La3 La 0.2752 0.2590 0.8309 1
Ir1 Ir 0.0000 0.2493 0.5000 1
Os1 Os 0.5000 0.5000 0.0000 1
Pt1 Pt 0.5000 0.0000 0.0000 1
# Total DFT energy (no corrections) in eV/atom: -6.752
# Total magnetic moment in μB per formula unit: 0.0
# Energy of formation in kJ/mol of formula units: -638
# N(E_F) in states/eV/f.u.: 9.8



(2)
# PBE-GGA La8IrOsPt2, optimized geometry
data_La8IrOsPt2
_cell_length_a 6.8256
_cell_length_b 8.6450
_cell_length_c 6.8874
_cell_angle_alpha 90.00
_cell_angle_beta 91.40
_cell_angle_gamma 90.00
_space_group_name_H-M_alt 'P 1 2/m 1'
_space_group_IT_number 10
_space_group_name_Hall '-P 2y'
loop_
_atom_site_label
_atom_site_type_symbol
_atom_site_fract_x
_atom_site_fract_y
_atom_site_fract_z
_atom_site_occupancy
La1 La 0.1544 0.0000 0.2459 1
La2 La 0.1571 0.5000 0.2465 1
La3 La 0.3446 0.2533 0.7235 1
Ir1 Ir 0.5000 0.0000 0.5000 1
Os1 Os 0.5000 0.5000 0.5000 1
Pt1 Pt 0.0000 0.2495 0.0000 1
# Total DFT energy (no corrections) in eV/atom: -6.557
# Total magnetic moment in μB per formula unit: 0.0
# Energy of formation in kJ/mol of formula units: -684
# N(E_F) in states/eV/f.u.: 11.4



(3)
# PBE-GGA La6IrOsRh2, optimized geometry
data_La6IrOsRh2
_cell_length_a 7.2339
_cell_length_b 7.2352
_cell_length_c 7.7712
_cell_angle_alpha 62.29
_cell_angle_beta 62.29
_cell_angle_gamma 60.07
_space_group_name_H-M_alt 'P 1'
_space_group_IT_number 1
_space_group_name_Hall 'P 1'
loop_
_atom_site_label
_atom_site_type_symbol
_atom_site_fract_x
_atom_site_fract_y
_atom_site_fract_z
_atom_site_occupancy
La1 La 0.0000 0.0000 0.0000 1
La2 La 0.1586 0.8405 0.5038 1
La3 La 0.3282 0.3454 0.0003 1
La4 La 0.4949 0.1707 0.5040 1
La5 La 0.6548 0.6732 0.0002 1
La6 La 0.8250 0.5045 0.5037 1
Ir1 Ir 0.9126 0.2580 0.2450 1
Os1 Os 0.4136 0.7590 0.7420 1
Rh1 Rh 0.0735 0.4191 0.7620 1
Rh2 Rh 0.5748 0.9201 0.2584 1
# Total DFT energy (no corrections) in eV/atom: -6.945
# Total magnetic moment in μB per formula unit: 0.0
# Energy of formation in kJ/mol of formula units: -491
# N(E_F) in states/eV/f.u.: 6.6



(4)
# PBE-GGA La8IrOsRh2, optimized geometry
data_La8IrOsRh2
_cell_length_a 6.7469
_cell_length_b 8.6126
_cell_length_c 6.8473
_cell_angle_alpha 90.00
_cell_angle_beta 90.53
_cell_angle_gamma 90.00
_space_group_name_H-M_alt 'P 1 2/m 1'
_space_group_IT_number 10
_space_group_name_Hall '-P 2y'
loop_
_atom_site_label
_atom_site_type_symbol
_atom_site_fract_x
_atom_site_fract_y
_atom_site_fract_z
_atom_site_occupancy
La1 La 0.2222 0.2471 0.3313 1
La2 La 0.2698 0.0000 0.8292 1
La3 La 0.2725 0.5000 0.8313 1
Ir1 Ir 0.0000 0.5000 0.5000 1
Os1 Os 0.0000 0.0000 0.5000 1
Rh1 Rh 0.5000 0.2509 0.0000 1
# Total DFT energy (no corrections) in eV/atom: -6.665
# Total magnetic moment in μB per formula unit: 0.0
# Energy of formation in kJ/mol of formula units: -557
# N(E_F) in states/eV/f.u.: 8.3



(5)
# PBE-GGA La2ScIrOs, optimized geometry
data_La2ScIrOs
_cell_length_a 5.4568
_cell_length_b 5.4568
_cell_length_c 4.5277
_cell_angle_alpha 90.00
_cell_angle_beta 90.00
_cell_angle_gamma 90.00
_space_group_name_H-M_alt 'P 4/m m m'
_space_group_IT_number 123
_space_group_name_Hall '-P 4 2'
loop_
_atom_site_label
_atom_site_type_symbol
_atom_site_fract_x
_atom_site_fract_y
_atom_site_fract_z
_atom_site_occupancy
La1 La 0.0000 0.5000 0.0000 1
Sc1 Sc 0.0000 0.0000 0.0000 1
Ir1 Ir 0.0000 0.0000 0.5000 1
Os1 Os 0.5000 0.5000 0.5000 1
# Total DFT energy (no corrections) in eV/atom: -6.060
# Total magnetic moment in μB per formula unit: 0.0
# Energy of formation in kJ/mol of formula units: 577
# N(E_F) in states/eV/f.u.: 6.5



(6)
# PBE-GGA LaTaIrOs2, optimized geometry
data_LaTaIrOs2
_cell_length_a 4.8230
_cell_length_b 4.8230
_cell_length_c 4.8469
_cell_angle_alpha 90.00
_cell_angle_beta 90.00
_cell_angle_gamma 90.00
_space_group_name_H-M_alt 'P 4/m m m'
_space_group_IT_number 123
_space_group_name_Hall '-P 4 2'
loop_
_atom_site_label
_atom_site_type_symbol
_atom_site_fract_x
_atom_site_fract_y
_atom_site_fract_z
_atom_site_occupancy
La1 La 0.0000 0.0000 0.0000 1
Ta1 Ta 0.5000 0.5000 0.5000 1
Ir1 Ir 0.5000 0.5000 0.0000 1
Os1 Os 0.0000 0.5000 0.5000 1
# Total DFT energy (no corrections) in eV/atom: -8.784
# Total magnetic moment in μB per formula unit: 0.0
# Energy of formation in kJ/mol of formula units: 403
# N(E_F) in states/eV/f.u.: 5.0



(7)
# PBE-GGA LaTi2IrOs, optimized geometry
data_LaTi2IrOs
_cell_length_a 4.6399
_cell_length_b 4.6399
_cell_length_c 4.6908
_cell_angle_alpha 90.00
_cell_angle_beta 90.00
_cell_angle_gamma 90.00
_space_group_name_H-M_alt 'P 4/m m m'
_space_group_IT_number 123
_space_group_name_Hall '-P 4 2'
loop_
_atom_site_label
_atom_site_type_symbol
_atom_site_fract_x
_atom_site_fract_y
_atom_site_fract_z
_atom_site_occupancy
La1 La 0.0000 0.0000 0.0000 1
Ti1 Ti 0.0000 0.5000 0.0000 1
Ir1 Ir 0.5000 0.5000 0.5000 1
Os1 Os 0.0000 0.0000 0.5000 1
# Total DFT energy (no corrections) in eV/atom: -6.338
# Total magnetic moment in μB per formula unit: 0.0
# Energy of formation in kJ/mol of formula units: 880
# N(E_F) in states/eV/f.u.: 8.5



(8)
# PBE-GGA La2YIrOs, optimized geometry
data_La2YIrOs
_cell_length_a 5.5731
_cell_length_b 5.5731
_cell_length_c 4.7680
_cell_angle_alpha 90.00
_cell_angle_beta 90.00
_cell_angle_gamma 90.00
_space_group_name_H-M_alt 'P 4/m m m'
_space_group_IT_number 123
_space_group_name_Hall '-P 4 2'
loop_
_atom_site_label
_atom_site_type_symbol
_atom_site_fract_x
_atom_site_fract_y
_atom_site_fract_z
_atom_site_occupancy
La1 La 0.0000 0.5000 0.0000 1
Y1 Y 0.0000 0.0000 0.0000 1
Ir1 Ir 0.0000 0.0000 0.5000 1
Os1 Os 0.5000 0.5000 0.5000 1
# Total DFT energy (no corrections) in eV/atom: -5.689
# Total magnetic moment in μB per formula unit: 0.0
# Energy of formation in kJ/mol of formula units: 768
# N(E_F) in states/eV/f.u.: 7.7



(9)
# PBE-GGA La2P4Ir3, optimized geometry
data_La2P4Ir3
_cell_length_a 5.6188
_cell_length_b 9.9111
_cell_length_c 12.2442
_cell_angle_alpha 90.00
_cell_angle_beta 90.00
_cell_angle_gamma 90.00
_space_group_name_H-M_alt 'F m m m'
_space_group_IT_number 69
_space_group_name_Hall '-F 2 2'
loop_
_atom_site_label
_atom_site_type_symbol
_atom_site_fract_x
_atom_site_fract_y
_atom_site_fract_z
_atom_site_occupancy
La1 La 0.0000 0.0000 0.1449 1
P1 P 0.0000 0.1611 0.3538 1
Ir1 Ir 0.0000 0.0000 0.5000 1
Ir2 Ir 0.2500 0.2500 0.0000 1
# Total DFT energy (no corrections) in eV/atom: -7.276
# Total magnetic moment in μB per formula unit: 0.0
# Energy of formation in kJ/mol of formula units: -714
# N(E_F) in states/eV/f.u.: 4.7



(10)
# PBE-GGA LaP2Ir4, optimized geometry
data_LaP2Ir4
_cell_length_a 7.7288
_cell_length_b 7.7288
_cell_length_c 3.7906
_cell_angle_alpha 90.00
_cell_angle_beta 90.00
_cell_angle_gamma 90.00
_space_group_name_H-M_alt 'P 42/m n m'
_space_group_IT_number 136
_space_group_name_Hall '-P 4n 2n'
loop_
_atom_site_label
_atom_site_type_symbol
_atom_site_fract_x
_atom_site_fract_y
_atom_site_fract_z
_atom_site_occupancy
La1 La 0.0000 0.0000 0.0000 1
P1 P 0.2288 0.2288 0.5000 1
Ir1 Ir 0.0775 0.6684 0.5000 1
# Total DFT energy (no corrections) in eV/atom: -7.970
# Total magnetic moment in μB per formula unit: 0.0
# Energy of formation in kJ/mol of formula units: -444
# N(E_F) in states/eV/f.u.: 4.3



(11)
# PBE-GGA La2P7Ir12, optimized geometry
data_La2P7Ir12
_cell_length_a 9.7408
_cell_length_b 9.7408
_cell_length_c 3.9748
_cell_angle_alpha 90.00
_cell_angle_beta 90.00
_cell_angle_gamma 120.00
_space_group_name_H-M_alt 'P -6'
_space_group_IT_number 174
_space_group_name_Hall 'P -6'
loop_
_atom_site_label
_atom_site_type_symbol
_atom_site_fract_x
_atom_site_fract_y
_atom_site_fract_z
_atom_site_occupancy
La1 La 0.0000 0.0000 0.0000 1
La2 La 0.3333 0.6667 0.5000 1
P1 P 0.0728 0.4558 0.0000 1
P2 P 0.2644 0.2169 0.5000 1
P3 P 0.6667 0.3333 0.0000 1
Ir1 Ir 0.0491 0.2631 0.5000 1
Ir2 Ir 0.1160 0.7193 0.0000 1
Ir3 Ir 0.4006 0.1743 0.0000 1
Ir4 Ir 0.5106 0.4524 0.5000 1
# Total DFT energy (no corrections) in eV/atom: -7.954
# Total magnetic moment in μB per formula unit: 0.0
# Energy of formation in kJ/mol of formula units: -1252
# N(E_F) in states/eV/f.u.: 12.0



(12)
# PBE-GGA La2P2Ir5, optimized geometry
data_La2P2Ir5
_cell_length_a 4.1679
_cell_length_b 4.1679
_cell_length_c 9.1779
_cell_angle_alpha 90.00
_cell_angle_beta 90.00
_cell_angle_gamma 90.00
_space_group_name_H-M_alt 'P 4/m m m'
_space_group_IT_number 123
_space_group_name_Hall '-P 4 2'
loop_
_atom_site_label
_atom_site_type_symbol
_atom_site_fract_x
_atom_site_fract_y
_atom_site_fract_z
_atom_site_occupancy
La1 La 0.0000 0.0000 0.0000 1
La2 La 0.0000 0.0000 0.5000 1
P1 P 0.5000 0.5000 0.1457 1
Ir1 Ir 0.0000 0.5000 0.2599 1
Ir2 Ir 0.5000 0.5000 0.5000 1
# Total DFT energy (no corrections) in eV/atom: -7.977
# Total magnetic moment in μB per formula unit: 0.0
# Energy of formation in kJ/mol of formula units: -658
# N(E_F) in states/eV/f.u.: 3.3



(13)
# PBE-GGA La6PIr3, optimized geometry
data_La6PIr3
_cell_length_a 12.0083
_cell_length_b 4.2331
_cell_length_c 12.1309
_cell_angle_alpha 90.00
_cell_angle_beta 108.42
_cell_angle_gamma 90.00
_space_group_name_H-M_alt 'P 1 21/m 1'
_space_group_IT_number 11
_space_group_name_Hall '-P 2yb'
loop_
_atom_site_label
_atom_site_type_symbol
_atom_site_fract_x
_atom_site_fract_y
_atom_site_fract_z
_atom_site_occupancy
La1 La 0.0397 0.2500 0.3939 1
La2 La 0.1039 0.2500 0.9390 1
La3 La 0.2314 0.7500 0.2654 1
La4 La 0.2921 0.7500 0.7590 1
La5 La 0.3810 0.2500 0.5420 1
La6 La 0.4225 0.7500 0.0971 1
P1 P 0.4497 0.2500 0.3129 1
Ir1 Ir 0.0600 0.2500 0.1663 1
Ir2 Ir 0.1950 0.7500 0.4980 1
Ir3 Ir 0.3454 0.2500 0.9193 1
# Total DFT energy (no corrections) in eV/atom: -6.964
# Total magnetic moment in μB per formula unit: 0.0
# Energy of formation in kJ/mol of formula units: -780
# N(E_F) in states/eV/f.u.: 6.0



(14)
# PBE-GGA La2PIr, optimized geometry
data_La2PIr
_cell_length_a 4.1665
_cell_length_b 4.1665
_cell_length_c 10.8676
_cell_angle_alpha 90.00
_cell_angle_beta 90.00
_cell_angle_gamma 90.00
_space_group_name_H-M_alt 'I -4 m 2'
_space_group_IT_number 119
_space_group_name_Hall 'I -4 -2'
loop_
_atom_site_label
_atom_site_type_symbol
_atom_site_fract_x
_atom_site_fract_y
_atom_site_fract_z
_atom_site_occupancy
La1 La 0.0000 0.0000 0.0000 1
La2 La 0.0000 0.5000 0.2500 1
P1 P 0.0000 0.5000 0.7500 1
Ir1 Ir 0.0000 0.0000 0.5000 1
# Total DFT energy (no corrections) in eV/atom: -6.806
# Total magnetic moment in μB per formula unit: 0.0
# Energy of formation in kJ/mol of formula units: -299
# N(E_F) in states/eV/f.u.: 0.5



(15)
# PBE-GGA La2PIr2, optimized geometry
data_La2PIr2
_cell_length_a 7.2787
_cell_length_b 7.2787
_cell_length_c 4.1618
_cell_angle_alpha 90.00
_cell_angle_beta 90.00
_cell_angle_gamma 90.00
_space_group_name_H-M_alt 'P 4/m b m'
_space_group_IT_number 127
_space_group_name_Hall '-P 4 2ab'
loop_
_atom_site_label
_atom_site_type_symbol
_atom_site_fract_x
_atom_site_fract_y
_atom_site_fract_z
_atom_site_occupancy
La1 La 0.1845 0.3155 0.0000 1
P1 P 0.0000 0.0000 0.5000 1
Ir1 Ir 0.1280 0.6280 0.5000 1
# Total DFT energy (no corrections) in eV/atom: -7.187
# Total magnetic moment in μB per formula unit: 0.0
# Energy of formation in kJ/mol of formula units: -285
# N(E_F) in states/eV/f.u.: 4.3



(16)
# PBE-GGA LaPIr, optimized geometry
data_LaPIr
_cell_length_a 4.1651
_cell_length_b 4.1651
_cell_length_c 14.3692
_cell_angle_alpha 90.00
_cell_angle_beta 90.00
_cell_angle_gamma 90.00
_space_group_name_H-M_alt 'I 41 m d'
_space_group_IT_number 109
_space_group_name_Hall 'I 4bw -2'
loop_
_atom_site_label
_atom_site_type_symbol
_atom_site_fract_x
_atom_site_fract_y
_atom_site_fract_z
_atom_site_occupancy
La1 La 0.0000 0.0000 0.0000 1
P1 P 0.0000 0.0000 0.4206 1
Ir1 Ir 0.0000 0.0000 0.5877 1
# Total DFT energy (no corrections) in eV/atom: -7.593
# Total magnetic moment in μB per formula unit: 0.0
# Energy of formation in kJ/mol of formula units: -345
# N(E_F) in states/eV/f.u.: 2.3



(17)
# PBE-GGA LaPIr, optimized geometry
data_LaPIr
_cell_length_a 6.4251
_cell_length_b 6.4251
_cell_length_c 6.4251
_cell_angle_alpha 90.00
_cell_angle_beta 90.00
_cell_angle_gamma 90.00
_space_group_name_H-M_alt 'F -4 3 m'
_space_group_IT_number 216
_space_group_name_Hall 'F -4 2 3'
loop_
_atom_site_label
_atom_site_type_symbol
_atom_site_fract_x
_atom_site_fract_y
_atom_site_fract_z
_atom_site_occupancy
La1 La 0.0000 0.0000 0.0000 1
P1 P 0.2500 0.2500 0.2500 1
Ir1 Ir 0.0000 0.0000 0.5000 1
# Total DFT energy (no corrections) in eV/atom: -6.826
# Total magnetic moment in μB per formula unit: 0.0
# Energy of formation in kJ/mol of formula units: -124
# N(E_F) in states/eV/f.u.: 3.6



(18)
# PBE-GGA LaP3Ir3, optimized geometry
data_LaP3Ir3
_cell_length_a 6.4853
_cell_length_b 6.4853
_cell_length_c 6.4853
_cell_angle_alpha 90.00
_cell_angle_beta 90.00
_cell_angle_gamma 90.00
_space_group_name_H-M_alt 'P m -3 n'
_space_group_IT_number 223
_space_group_name_Hall '-P 4n 2 3'
loop_
_atom_site_label
_atom_site_type_symbol
_atom_site_fract_x
_atom_site_fract_y
_atom_site_fract_z
_atom_site_occupancy
La1 La 0.0000 0.0000 0.0000 1
P1 P 0.0000 0.2500 0.5000 1
Ir1 Ir 0.0000 0.5000 0.2500 1
# Total DFT energy (no corrections) in eV/atom: -7.485
# Total magnetic moment in μB per formula unit: 0.0
# Energy of formation in kJ/mol of formula units: -449
# N(E_F) in states/eV/f.u.: 4.5



(19)
# PBE-GGA LaP3Ir, optimized geometry
data_LaP3Ir
_cell_length_a 5.2030
_cell_length_b 5.2030
_cell_length_c 5.2030
_cell_angle_alpha 90.00
_cell_angle_beta 90.00
_cell_angle_gamma 90.00
_space_group_name_H-M_alt 'P m -3 m'
_space_group_IT_number 221
_space_group_name_Hall '-P 4 2 3'
loop_
_atom_site_label
_atom_site_type_symbol
_atom_site_fract_x
_atom_site_fract_y
_atom_site_fract_z
_atom_site_occupancy
La1 La 0.0000 0.0000 0.0000 1
P1 P 0.0000 0.0000 0.5000 1
Ir1 Ir 0.5000 0.5000 0.5000 1
# Total DFT energy (no corrections) in eV/atom: -4.128
# Total magnetic moment in μB per formula unit: 0.0
# Energy of formation in kJ/mol of formula units: 905
# N(E_F) in states/eV/f.u.: 11.2



(20)
# PBE-GGA La2PIr, optimized geometry
data_La2PIr
_cell_length_a 4.2488
_cell_length_b 4.2488
_cell_length_c 20.6877
_cell_angle_alpha 90.00
_cell_angle_beta 90.00
_cell_angle_gamma 120.00
_space_group_name_H-M_alt 'R -3 m'
_space_group_IT_number 166
_space_group_name_Hall '-R 3 2"'
loop_
_atom_site_label
_atom_site_type_symbol
_atom_site_fract_x
_atom_site_fract_y
_atom_site_fract_z
_atom_site_occupancy
La1 La 0.0000 0.0000 0.2480 1
P1 P 0.0000 0.0000 0.0000 1
Ir1 Ir 0.0000 0.0000 0.5000 1
# Total DFT energy (no corrections) in eV/atom: -7.049
# Total magnetic moment in μB per formula unit: 0.0
# Energy of formation in kJ/mol of formula units: -393
# N(E_F) in states/eV/f.u.: 0.4